Material: FeCoSb2
Method: DFT, PBE
State: relaxed

Unit cell a=4.552 b=4.552 c=3.221 alpha=90.12 beta=90.12 gamma=89.99
Each line ends with the local moment (μB).
Fractional positions:
1 Co 0.500 0.000 0.500  0.82
2 Sb 0.000 0.000 0.000  -0.01
3 Sb 0.500 0.500 0.000  -0.01
4 Fe 0.000 0.500 0.500  1.97

Output
Raw formation energy (meV per atom): 299.3

=====

Material: DyTm3Pb3
Method: DFT, PBE
State: relaxed

Unit cell a=9.104 b=9.104 c=8.029 alpha=55.46 beta=55.46 gamma=60.00
Fractional positions:
1 Pb 0.529 0.912 0.247
2 Pb 0.471 0.088 0.753
3 Pb 0.687 0.471 0.753
4 Pb 0.313 0.529 0.247
5 Pb 0.912 0.313 0.247
6 Pb 0.088 0.687 0.753
7 Tm 0.667 0.165 0.254
8 Tm 0.165 0.915 0.254
9 Tm 0.915 0.667 0.254
10 Tm 0.085 0.333 0.746
11 Tm 0.333 0.835 0.746
12 Tm 0.835 0.085 0.746
13 Dy 0.330 0.330 0.009
14 Dy 0.670 0.670 0.991

Output
Energy of formation (eV/atom): -0.310
ΔE to the lowest computed polymorph (meV per atom): 185

=====

Material: MgPWCl2
Method: DFT, PBE
State: relaxed

Unit cell a=4.388 b=4.388 c=6.627 alpha=90.00 beta=90.00 gamma=90.00
Each line ends with the local moment (μB).
Fractional positions:
1 W 0.500 0.500 0.500  2.93
2 Mg 0.000 0.000 0.000  0.00
3 P 0.000 0.000 0.500  -0.40
4 Cl 0.000 0.500 0.000  0.01
5 Cl 0.500 0.000 0.000  0.01

Output
Raw formation energy (meV per atom): 569.1
ΔE to the lowest computed polymorph (meV per atom): 455

=====

Material: Li2HfAs2Pd2
Method: DFT, PBE
State: relaxed

Unit cell a=4.216 b=4.216 c=7.643 alpha=73.99 beta=73.99 gamma=60.00
Fractional positions:
1 Li 0.857 0.857 0.429
2 Li 0.143 0.143 0.571
3 Pd 0.576 0.576 0.273
4 Pd 0.424 0.424 0.727
5 As 0.736 0.736 0.791
6 As 0.264 0.264 0.209
7 Hf 0.000 0.000 0.000

Output
Energy of formation (eV/atom): -0.694

=====

Material: Te3Pd10
Method: DFT, PBE
State: relaxed

Unit cell a=8.934 b=8.934 c=8.934 alpha=60.00 beta=60.00 gamma=60.00
Fractional positions:
1 Pd 0.242 0.758 0.242
2 Pd 0.242 0.758 0.758
3 Pd 0.384 0.848 0.384
4 Pd 0.242 0.242 0.758
5 Pd 0.758 0.758 0.242
6 Pd 0.384 0.384 0.848
7 Pd 0.402 0.866 0.866
8 Pd 0.492 0.492 0.008
9 Pd 0.866 0.866 0.402
10 Pd 0.008 0.008 0.492
11 Pd 0.866 0.402 0.866
12 Pd 0.848 0.384 0.384
13 Pd 0.866 0.866 0.866
14 Pd 0.008 0.492 0.492
15 Pd 0.758 0.242 0.242
16 Pd 0.384 0.384 0.384
17 Pd 0.492 0.008 0.492
18 Pd 0.758 0.242 0.758
19 Pd 0.492 0.008 0.008
20 Pd 0.008 0.492 0.008
21 Te 0.500 0.500 0.500
22 Te 0.125 0.125 0.125
23 Te 0.750 0.750 0.750
24 Te 0.125 0.125 0.625
25 Te 0.125 0.625 0.125
26 Te 0.625 0.125 0.125

Output
Raw formation energy (meV per atom): -109.4

=====

Material: NaFeTc3
Method: DFT, PBE
State: relaxed

Unit cell a=4.362 b=4.362 c=4.362 alpha=90.00 beta=90.00 gamma=90.00
Fractional positions:
1 Tc 0.000 0.500 0.000
2 Tc 0.000 0.000 0.500
3 Tc 0.500 0.000 0.000
4 Fe 0.500 0.500 0.500
5 Na 0.000 0.000 0.000

Output
Energy of formation (eV/atom): 2.892
ΔE to the lowest computed polymorph (meV per atom): 1558

=====

Material: Pr4Dy2Y2Er
Method: DFT, PBE
State: relaxed

Unit cell a=5.122 b=8.114 c=8.092 alpha=107.51 beta=90.00 gamma=108.40
Fractional positions:
1 Pr 0.554 0.108 0.332
2 Pr 0.777 0.554 0.667
3 Pr 0.446 0.892 0.668
4 Pr 0.223 0.446 0.333
5 Y 0.667 0.333 0.000
6 Y 0.333 0.667 0.000
7 Dy 0.889 0.778 0.331
8 Dy 0.111 0.222 0.669
9 Er 0.000 0.000 0.000

Output
Energy of formation (eV/atom): 0.022

=====

Material: La3InRu
Method: DFT, PBE
State: relaxed

Unit cell a=7.400 b=7.391 c=6.072 alpha=102.62 beta=102.64 gamma=70.41
Fractional positions:
1 La 0.812 0.724 0.696
2 La 0.420 0.117 0.696
3 La 0.068 0.980 0.268
4 La 0.676 0.373 0.267
5 La 0.142 0.445 0.179
6 La 0.346 0.652 0.785
7 In 0.880 0.184 0.771
8 In 0.608 0.913 0.193
9 Ru 0.078 0.382 0.598
10 Ru 0.410 0.715 0.366

Output
Energy of formation (eV/atom): -0.364
ΔE to the lowest computed polymorph (meV per atom): 54

=====

Material: In5Hg3Pb4
Method: DFT, PBE
State: relaxed

Unit cell a=5.900 b=8.004 c=8.947 alpha=100.13 beta=70.75 gamma=68.37
Fractional positions:
1 In 0.176 0.504 0.144
2 In 0.351 0.095 0.203
3 In 0.500 0.500 0.500
4 In 0.824 0.496 0.856
5 In 0.649 0.905 0.797
6 Hg 0.529 0.706 0.236
7 Hg 0.000 0.500 0.500
8 Hg 0.471 0.294 0.764
9 Pb 0.181 0.018 0.619
10 Pb 0.838 0.229 0.095
11 Pb 0.819 0.982 0.381
12 Pb 0.162 0.771 0.905

Output
Energy of formation (eV/atom): 0.050
ΔE to the lowest computed polymorph (meV per atom): 28

=====

Material: Pm2PaCo3H12
Method: DFT, PBE
State: relaxed

Unit cell a=5.983 b=5.983 c=5.983 alpha=62.80 beta=62.80 gamma=62.80
Each line ends with the local moment (μB).
Fractional positions:
1 Co 0.000 0.000 0.500  0.59
2 Co 0.000 0.500 0.000  0.59
3 Co 0.500 0.000 0.000  0.59
4 H 0.864 0.864 0.435  0.00
5 H 0.136 0.565 0.136  0.00
6 H 0.275 0.876 0.275  0.00
7 H 0.124 0.725 0.725  0.00
8 H 0.275 0.275 0.876  0.00
9 H 0.725 0.124 0.725  0.00
10 H 0.435 0.864 0.864  0.00
11 H 0.565 0.136 0.136  0.00
12 H 0.136 0.136 0.565  0.00
13 H 0.725 0.725 0.124  0.00
14 H 0.864 0.435 0.864  0.00
15 H 0.876 0.275 0.275  0.00
16 Pm 0.614 0.614 0.614  0.30
17 Pm 0.386 0.386 0.386  0.30
18 Pa 0.000 0.000 0.000  0.71

Output
Total DFT energy (no corrections) (eV/cell): -84.68

=====

Material: Na3LaU2Te6
Method: DFT, PBE
State: relaxed

Unit cell a=7.802 b=7.802 c=8.012 alpha=99.36 beta=99.36 gamma=120.01
Each line ends with the local moment (μB).
Fractional positions:
1 Te 0.737 0.737 0.239  -0.04
2 Te 0.080 0.422 0.239  -0.04
3 Te 0.578 0.920 0.761  -0.04
4 Te 0.920 0.578 0.761  -0.04
5 Te 0.422 0.080 0.239  -0.04
6 Te 0.263 0.263 0.761  -0.04
7 Na 0.500 0.500 0.500  0.00
8 Na 0.164 0.836 0.500  0.00
9 Na 0.836 0.164 0.500  0.00
10 La 0.000 0.000 0.000  0.09
11 U 0.333 0.667 0.000  2.75
12 U 0.667 0.333 0.000  2.75

Output
Raw formation energy (meV per atom): -970.5

=====

Material: MgTc2Te
Method: DFT, PBE
State: relaxed

Unit cell a=4.508 b=4.508 c=4.508 alpha=60.00 beta=60.00 gamma=60.00
Fractional positions:
1 Mg 0.000 0.000 0.000
2 Te 0.500 0.500 0.500
3 Tc 0.250 0.250 0.250
4 Tc 0.750 0.750 0.750

Output
Raw formation energy (meV per atom): 258.0
ΔE to the lowest computed polymorph (meV per atom): 122